A relaxed CsGdCoO3 crystal. Source: OQMD, functional PBE with a Hubbard U.

a = 6.7988 Å, b = 6.7988 Å, c = 9.2465 Å
α = 90.00°, β = 90.00°, γ = 149.42°
Element x y z (fractional)
Cs1 0.2287 0.7713 0.7500
Cs2 0.7713 0.2287 0.2500
Gd1 0.5000 0.5000 0.0000
Gd2 0.5000 0.5000 0.5000
Co1 0.0461 0.9539 0.2500
Co2 0.9539 0.0461 0.7500
O1 0.1046 0.8954 0.0590
O2 0.1046 0.8954 0.4410
O3 0.4668 0.5332 0.2500
O4 0.5332 0.4668 0.7500
O5 0.8954 0.1046 0.5590
O6 0.8954 0.1046 0.9410

Results
As for the crystal system: orthorhombic. For the total energy, the calculation gives -75.94 eV/cell. The calculation puts the total magnetization at 6.0 Bohr magnetons per cell. The value obtained for the density is 6.07 g/cm³.



A relaxed CsCoP3HO10 crystal. Source: OQMD, functional PBE with a Hubbard U.

a = 6.2413 Å, b = 6.2413 Å, c = 6.3146 Å
α = 106.75°, β = 106.75°, γ = 87.66°
Element x y z (fractional)
Cs1 0.0000 0.0000 0.0000
Co1 0.3342 0.6658 0.5000
P1 0.4296 0.5704 0.0000
P2 0.4389 0.2012 0.5999
P3 0.7988 0.5611 0.4001
H1 0.7552 0.2448 0.5000
O1 0.0226 0.6860 0.4873
O2 0.2766 0.5995 0.1507
O3 0.3140 0.9774 0.5127
O4 0.3271 0.3442 0.4428
O5 0.3984 0.3114 0.8524
O6 0.4005 0.7234 0.8493
O7 0.6558 0.6729 0.5572
O8 0.6886 0.6016 0.1476
O9 0.6933 0.1948 0.6438
O10 0.8052 0.3067 0.3562

Results
As for the crystal system: monoclinic. For the total energy, the calculation gives -105.84 eV/cell. The calculation puts the total magnetization at 4.0 Bohr magnetons per cell. The value obtained for the density is 3.29 g/cm³.